GGA-PBE RbCdHg, relaxed; ρ = 5.822 g/cm³; energy relative to the lowest polymorph listed for this composition = 0.000 eV per atom; magnetization = 0.0 μB/f.u.; formation energy from the elements = -0.136 eV/atom; SG = P-6m2, No. 187; final energy = -2.59 eV for the cell shown
1.0
-1.508 1.619 4.061
-2.789 -4.477 0.749
5.026 0.329 1.735
Hg Rb Cd
1 1 1
Direct
0.167 0.000 0.000 Hg
0.667 0.667 0.333 Rb
0.167 0.333 0.667 Cd

GGA-PBE Rb12Cd5Hg3, relaxed; ρ = 2.751 g/cm³; magnetization = 0.0 μB/f.u.; formation energy from the elements = 0.083 eV/atom; SG = Ia-3d, No. 230; final energy = -61.71 eV for the cell shown
1.0
19.007 0.000 0.000
-6.336 17.920 0.000
-6.336 -8.960 15.519
Hg Cd Rb
12 20 48
Direct
0.750 0.375 0.125 Hg
0.875 0.750 0.125 Hg
0.375 0.750 0.625 Hg
0.250 0.125 0.375 Hg
0.875 0.125 0.250 Hg
0.375 0.625 0.250 Hg
0.625 0.375 0.750 Hg
0.125 0.875 0.750 Hg
0.750 0.875 0.625 Hg
0.625 0.250 0.375 Hg
0.125 0.250 0.875 Hg
0.250 0.625 0.875 Hg
0.125 0.375 0.250 Cd
0.000 0.500 0.000 Cd
0.000 0.000 0.000 Cd
0.375 0.250 0.125 Cd
0.500 0.000 0.500 Cd
0.500 0.500 0.000 Cd
0.125 0.750 0.375 Cd
0.750 0.125 0.875 Cd
0.750 0.625 0.375 Cd
0.375 0.125 0.750 Cd
0.625 0.875 0.250 Cd
0.500 0.500 0.500 Cd
0.500 0.000 0.000 Cd
0.000 0.000 0.500 Cd
0.250 0.375 0.625 Cd
0.250 0.875 0.125 Cd
0.000 0.500 0.500 Cd
0.875 0.250 0.625 Cd
0.625 0.750 0.875 Cd
0.875 0.625 0.750 Cd
0.727 0.128 0.056 Rb
0.328 0.556 0.428 Rb
0.944 0.372 0.273 Rb
0.556 0.227 0.128 Rb
0.600 0.727 0.672 Rb
0.944 0.572 0.172 Rb
0.328 0.773 0.400 Rb
0.072 0.900 0.128 Rb
0.572 0.944 0.672 Rb
0.727 0.600 0.172 Rb
0.773 0.444 0.372 Rb
0.828 0.928 0.056 Rb
0.128 0.727 0.556 Rb
0.372 0.428 0.100 Rb
0.100 0.928 0.372 Rb
0.400 0.128 0.572 Rb
0.100 0.172 0.227 Rb
0.444 0.672 0.072 Rb
0.828 0.900 0.273 Rb
0.128 0.400 0.072 Rb
0.372 0.944 0.773 Rb
0.572 0.628 0.400 Rb
0.928 0.828 0.556 Rb
0.773 0.328 0.900 Rb
0.428 0.372 0.600 Rb
0.072 0.172 0.444 Rb
0.227 0.672 0.100 Rb
0.172 0.100 0.727 Rb
0.628 0.056 0.227 Rb
0.872 0.600 0.928 Rb
0.556 0.328 0.928 Rb
0.600 0.872 0.428 Rb
0.900 0.828 0.773 Rb
0.900 0.072 0.628 Rb
0.872 0.273 0.444 Rb
0.172 0.072 0.944 Rb
0.628 0.572 0.900 Rb
0.428 0.056 0.328 Rb
0.273 0.400 0.828 Rb
0.227 0.556 0.628 Rb
0.928 0.100 0.872 Rb
0.672 0.227 0.600 Rb
0.444 0.773 0.872 Rb
0.056 0.428 0.828 Rb
0.400 0.273 0.328 Rb
0.056 0.628 0.727 Rb
0.672 0.444 0.572 Rb
0.273 0.872 0.944 Rb

GGA-PBE Rb5Cd3Hg12, relaxed; ρ = 5.657 g/cm³; magnetization = 0.0 μB/f.u.; formation energy from the elements = -0.052 eV/atom; SG = Ia-3d, No. 230; final energy = -48.96 eV for the cell shown
1.0
-10.928 -11.775 5.288
0.768 -0.201 -16.894
15.321 -3.258 6.379
Cd Rb Hg
12 20 48
Direct
0.750 0.375 0.125 Cd
0.875 0.750 0.125 Cd
0.375 0.750 0.625 Cd
0.250 0.125 0.375 Cd
0.875 0.125 0.250 Cd
0.375 0.625 0.250 Cd
0.625 0.375 0.750 Cd
0.125 0.875 0.750 Cd
0.750 0.875 0.625 Cd
0.625 0.250 0.375 Cd
0.125 0.250 0.875 Cd
0.250 0.625 0.875 Cd
0.125 0.375 0.250 Rb
0.000 0.500 0.000 Rb
0.000 0.000 0.000 Rb
0.375 0.250 0.125 Rb
0.500 0.000 0.500 Rb
0.500 0.500 0.000 Rb
0.125 0.750 0.375 Rb
0.750 0.125 0.875 Rb
0.750 0.625 0.375 Rb
0.375 0.125 0.750 Rb
0.625 0.875 0.250 Rb
0.500 0.500 0.500 Rb
0.500 0.000 0.000 Rb
0.000 0.000 0.500 Rb
0.250 0.375 0.625 Rb
0.250 0.875 0.125 Rb
0.000 0.500 0.500 Rb
0.875 0.250 0.625 Rb
0.625 0.750 0.875 Rb
0.875 0.625 0.750 Rb
0.740 0.154 0.097 Hg
0.357 0.597 0.443 Hg
0.903 0.346 0.260 Hg
0.597 0.240 0.154 Hg
0.586 0.740 0.643 Hg
0.903 0.557 0.143 Hg
0.357 0.760 0.414 Hg
0.057 0.914 0.154 Hg
0.557 0.903 0.643 Hg
0.740 0.586 0.143 Hg
0.760 0.403 0.346 Hg
0.857 0.943 0.097 Hg
0.154 0.740 0.597 Hg
0.346 0.443 0.086 Hg
0.086 0.943 0.346 Hg
0.414 0.154 0.557 Hg
0.086 0.143 0.240 Hg
0.403 0.643 0.057 Hg
0.857 0.914 0.260 Hg
0.154 0.414 0.057 Hg
0.346 0.903 0.760 Hg
0.557 0.654 0.414 Hg
0.943 0.857 0.597 Hg
0.760 0.357 0.914 Hg
0.443 0.346 0.586 Hg
0.057 0.143 0.403 Hg
0.240 0.643 0.086 Hg
0.143 0.086 0.740 Hg
0.654 0.097 0.240 Hg
0.846 0.586 0.943 Hg
0.597 0.357 0.943 Hg
0.586 0.846 0.443 Hg
0.914 0.857 0.760 Hg
0.914 0.057 0.654 Hg
0.846 0.260 0.403 Hg
0.143 0.057 0.903 Hg
0.654 0.557 0.914 Hg
0.443 0.097 0.357 Hg
0.260 0.414 0.857 Hg
0.240 0.597 0.654 Hg
0.943 0.086 0.846 Hg
0.643 0.240 0.586 Hg
0.403 0.760 0.846 Hg
0.097 0.443 0.857 Hg
0.414 0.260 0.357 Hg
0.097 0.654 0.740 Hg
0.643 0.403 0.557 Hg
0.260 0.846 0.903 Hg

GGA-PBE Rb2CdHg4, relaxed; ρ = 6.006 g/cm³; energy relative to the lowest polymorph listed for this composition = 0.090 eV per atom; magnetization = 0.0 μB/f.u.; formation energy from the elements = -0.107 eV/atom; SG = I4/mmm, No. 139; final energy = -4.81 eV for the cell shown
1.0
-2.720 5.003 -0.527
-4.633 -2.257 2.480
-0.529 3.951 9.203
Hg Rb Cd
4 2 1
Direct
0.835 0.835 0.331 Hg
0.165 0.165 0.669 Hg
0.000 0.500 0.000 Hg
0.500 0.000 0.000 Hg
0.634 0.634 0.731 Rb
0.366 0.366 0.269 Rb
0.000 0.000 0.000 Cd

GGA-PBE Rb4Cd3Hg5, relaxed; ρ = 6.089 g/cm³; magnetization = 0.0 μB/f.u.; formation energy from the elements = -0.141 eV/atom; SG = C2/m, No. 12; final energy = -9.82 eV for the cell shown
1.0
5.233 0.000 -1.563
-0.772 8.206 -2.585
0.259 0.586 10.404
Rb Cd Hg
4 3 5
Direct
0.903 0.094 0.806 Rb
0.163 0.443 0.326 Rb
0.837 0.557 0.674 Rb
0.097 0.906 0.194 Rb
0.292 0.848 0.584 Cd
0.500 0.500 0.000 Cd
0.708 0.152 0.416 Cd
0.291 0.203 0.582 Hg
0.000 0.500 0.000 Hg
0.452 0.819 0.904 Hg
0.548 0.181 0.096 Hg
0.709 0.797 0.418 Hg

GGA-PBE Rb2CdHg, relaxed; ρ = 3.992 g/cm³; energy relative to the lowest polymorph listed for this composition = 0.007 eV per atom; magnetization = 0.0 μB/f.u.; formation energy from the elements = -0.134 eV/atom; SG = R3m, No. 160; final energy = -3.69 eV for the cell shown
1.0
5.309 -0.015 -0.011
-2.643 4.605 0.011
-2.639 -1.537 8.250
Rb Cd Hg
2 1 1
Direct
0.193 0.846 0.039 Rb
0.558 0.028 0.586 Rb
0.041 0.271 0.312 Cd
0.708 0.604 0.313 Hg